Run P
First-principles (PBE) data for a geometry-optimized La3TbIn3 structure, as listed in Alexandria.

Unit cell a=9.6847 b=9.6847 c=9.6847 alpha=90.00 beta=90.00 gamma=90.00
Space group P2_13 (No. 198)
Unique sites:
La: 0.0678 0.4322 0.5678 x4
La: 0.1680 0.8320 0.3320 x4
La: 0.1755 0.1755 0.1755 x4
Tb: 0.0785 0.5785 0.9215 x4
In: 0.0055 0.2586 0.8661 x12

Run Q
First-principles (PBE) data for a geometry-optimized La3TbIn3 structure, as listed in Alexandria.

Unit cell a=8.4257 b=10.9096 c=9.9723 alpha=90.00 beta=92.15 gamma=90.00
Space group C2/m (No. 12)
Unique sites:
La: 0.0000 0.1787 0.0000 x4
La: 0.0000 0.2398 0.5000 x4
La: 0.0946 0.5000 0.8189 x4
Tb: 0.2232 0.5000 0.4583 x4
In: 0.0235 0.0000 0.2722 x4
In: 0.2347 0.2899 0.2394 x8

Which structure is most stable? run P, by 55 meV/atom over the runner-up.